(1)
A relaxed structure of Cs3MgF5. Source: Alexandria via LeMat-Bulk, functional PBE-GGA.

Cell and atoms, written as extended XYZ:
```
18
Lattice="7.9289 0.0000 0.0000 0.0000 7.9289 0.0000 0.0000 0.0000 6.8488" Properties=species:S:1:pos:R:3 pbc="T T T"
Cs 0.0000 0.0000 0.0000
Cs 1.4229 2.5415 3.4244
Cs 2.5415 6.5059 3.4244
Cs 3.9644 3.9644 0.0000
Cs 5.3874 1.4229 3.4244
Cs 6.5059 5.3874 3.4244
Mg 0.0000 3.9644 0.0000
Mg 3.9644 0.0000 0.0000
F 0.0000 0.0000 3.4244
F 0.9739 4.9384 1.3377
F 0.9739 4.9384 5.5111
F 2.9905 0.9739 1.3377
F 2.9905 0.9739 5.5111
F 3.9644 3.9644 3.4244
F 4.9384 6.9549 1.3377
F 4.9384 6.9549 5.5111
F 6.9549 2.9905 1.3377
F 6.9549 2.9905 5.5111
```

Summary:
**ΔE_f (raw)**: -2485.5 kJ/mol of formula units
**Energy above the lowest structure with this stoichiometry**: 0.101 eV/atom
**Symmetry**: P4/mbm

***

(2)
A relaxed structure of NaIn12Hg7. Source: Alexandria via LeMat-Bulk, functional PBE-GGA.

Cell and atoms, written as extended XYZ:
```
20
Lattice="7.3966 4.2704 2.8981 -7.3966 4.2704 2.8981 0.0000 -8.5409 2.8981" Properties=species:S:1:pos:R:3 pbc="T T T"
Na 0.0000 0.0000 0.0000
In -5.7881 -1.2500 4.3337
In -1.8115 -5.6376 4.3607
In -2.6025 -1.8963 4.3565
In -2.9435 1.3057 4.3380
In 0.3410 -3.2020 4.3380
In -3.9765 4.3876 4.3607
In 3.9765 -4.3876 4.3337
In -0.3410 3.2020 4.3565
In 2.9435 -1.3057 4.3565
In 2.6025 1.8963 4.3380
In 1.8115 5.6376 4.3337
In 5.7881 1.2500 4.3607
Hg -4.5975 -4.2630 4.2480
Hg -5.9907 1.8500 4.4464
Hg 1.3932 -6.1131 4.4464
Hg 0.0000 0.0000 4.3472
Hg -1.3932 6.1131 4.2480
Hg 5.9907 -1.8500 4.2480
Hg 4.5975 4.2630 4.4464
```

Summary:
**Energy of formation**: -0.005 eV per atom
**Energy above the lowest structure with this stoichiometry**: 0.000 eV/atom
**Symmetry**: R-3

***

(3)
A relaxed structure of LiFe2Ru. Source: Alexandria via LeMat-Bulk, functional PBE-GGA.

Cell and atoms, written as extended XYZ:
```
4
Lattice="2.4879 0.0000 0.0000 0.0000 4.1872 0.0000 -0.9132 0.0000 4.7675" Properties=species:S:1:pos:R:3 pbc="T T T"
Li 0.0000 0.0000 0.0000
Fe -0.1431 2.0936 3.5808
Fe 1.7177 2.0936 1.1868
Ru 0.7873 0.0000 2.3838
```

Summary:
**Energy of formation**: 0.219 eV per atom
**Symmetry**: P2/m

***

(4)
A relaxed structure of SrLa2Zn2Ge2. Source: Alexandria via LeMat-Bulk, functional PBE-GGA.

Cell and atoms, written as extended XYZ:
```
7
Lattice="2.1435 1.2376 12.1774 -2.1435 1.2376 12.1774 0.0000 -2.4751 12.1774" Properties=species:S:1:pos:R:3 pbc="T T T"
Sr 0.0000 0.0000 0.0000
La 0.0000 0.0000 4.4464
La 0.0000 0.0000 32.0858
Zn 0.0000 0.0000 14.6337
Zn 0.0000 0.0000 21.8985
Ge 0.0000 0.0000 9.8629
Ge 0.0000 0.0000 26.6693
```

Summary:
**Energy of formation**: -0.450 eV per atom
**Symmetry**: R-3m

***

(5)
A relaxed structure of Sr2ReF8. Source: Alexandria via LeMat-Bulk, functional PBE-GGA.

Cell and atoms, written as extended XYZ:
```
11
Lattice="7.0591 0.0000 0.0000 -3.5295 6.1133 0.0000 0.0000 0.0000 4.7277" Properties=species:S:1:pos:R:3 pbc="T T T"
Sr 0.0000 4.0756 1.1638
Sr 3.5295 2.0378 3.5639
Re 0.0000 0.0000 2.3638
F 0.0000 1.6631 1.2834
F -2.0892 5.2818 1.2834
F 1.4403 0.8316 3.4443
F 0.0000 4.0756 3.5346
F 3.5295 2.0378 1.1930
F 2.0892 5.2818 1.2834
F 5.6187 0.8316 3.4443
F 3.5295 4.4502 3.4443
```

Summary:
**ΔE_f (raw)**: -3170.1 kJ/mol of formula units
**Symmetry**: P-3m1

***

(6)
A relaxed structure of AlAuBr2. Source: Alexandria via LeMat-Bulk, functional PBE-GGA.

Cell and atoms, written as extended XYZ:
```
8
Lattice="8.6362 0.0000 0.0000 0.0000 4.5720 0.0000 -0.1144 0.0000 6.8150" Properties=species:S:1:pos:R:3 pbc="T T T"
Al 0.0000 0.0000 0.0000
Al 4.3181 2.2860 0.0000
Au -0.0572 2.2860 3.4075
Au 4.2609 0.0000 3.4075
Br 1.5260 2.2860 1.5497
Br 2.6777 0.0000 5.2653
Br 5.8441 0.0000 1.5497
Br 6.9958 2.2860 5.2653
```

Summary:
**ΔE_f (raw)**: -25.7 kJ/mol of formula units
**Energy above the lowest structure with this stoichiometry**: 0.518 eV/atom
**Symmetry**: C2/m

***

(7)
A relaxed structure of Cs2MgInCl6. Source: Alexandria via LeMat-Bulk, functional PBE-GGA.

Cell and atoms, written as extended XYZ:
```
10
Lattice="0.0000 5.3187 5.3187 5.3187 0.0000 5.3187 5.3187 5.3187 0.0000" Properties=species:S:1:pos:R:3 pbc="T T T"
Cs 2.6594 2.6594 2.6594
Cs 7.9781 7.9781 7.9781
Mg 0.0000 0.0000 0.0000
In 5.3187 5.3187 5.3187
Cl 5.3187 5.3187 2.5524
Cl 5.3187 2.5524 5.3187
Cl 8.0851 5.3187 5.3187
Cl 2.5524 5.3187 5.3187
Cl 5.3187 8.0851 5.3187
Cl 5.3187 5.3187 8.0851
```

Summary:
**ΔE_f (raw)**: -1577.5 kJ/mol of formula units
**Energy above the lowest structure with this stoichiometry**: 0.053 eV/atom
**Symmetry**: Fm-3m

***

(8)
A relaxed structure of LaMoAuCl2. Source: Alexandria via LeMat-Bulk, functional PBE-GGA.

Cell and atoms, written as extended XYZ:
```
5
Lattice="5.3190 0.0000 0.0000 0.0000 5.3190 0.0000 0.0000 0.0000 6.6020" Properties=species:S:1:pos:R:3 pbc="T T T"
La 0.0000 0.0000 0.0000
Mo 0.0000 0.0000 3.3010
Au 2.6595 2.6595 3.3010
Cl 0.0000 2.6595 0.0000
Cl 2.6595 0.0000 0.0000
```

Summary:
**ΔE_f (raw)**: 51.6 kJ/mol of formula units
**Symmetry**: P4/mmm

***

(9)
A relaxed structure of BaPa2As4Au. Source: Alexandria via LeMat-Bulk, functional PBE-GGA.

Cell and atoms, written as extended XYZ:
```
16
Lattice="2.1261 -7.0212 0.0000 2.1261 7.0212 0.0000 0.0000 0.0000 14.2726" Properties=species:S:1:pos:R:3 pbc="T T T"
Ba 2.1261 5.3544 10.7045
Ba 2.1261 -5.3544 3.5682
Pa 2.1261 1.7864 8.0227
Pa 2.1261 1.7864 13.3862
Pa 2.1261 -1.7864 0.8864
Pa 2.1261 -1.7864 6.2499
As 0.0000 0.0000 0.0000
As 0.0000 0.0000 7.1363
As 2.1261 3.3292 1.4677
As 2.1261 3.3292 5.6686
As 2.1261 0.7471 10.7045
As 2.1261 -0.7471 3.5682
As 2.1261 -3.3292 8.6040
As 2.1261 -3.3292 12.8049
Au 2.1261 4.8189 3.5682
Au 2.1261 -4.8189 10.7045
```

Summary:
**Energy of formation**: -0.912 eV per atom
**Symmetry**: Cmcm

***

(10)
A relaxed structure of MnPRu2. Source: Alexandria via LeMat-Bulk, functional PBE-GGA.

Cell and atoms, written as extended XYZ:
```
8
Lattice="5.4101 0.0000 0.0000 0.0000 8.1896 0.0000 -1.3358 0.0000 2.4546" Properties=species:S:1:pos:R:3 pbc="T T T"
Mn 0.0000 0.0000 0.0000
Mn 2.7051 4.0948 0.0000
P 0.0000 4.0948 0.0000
P 2.7051 0.0000 0.0000
Ru 0.6846 2.0474 1.2273
Ru 0.6846 6.1422 1.2273
Ru 3.3897 2.0474 1.2273
Ru 3.3897 6.1422 1.2273
```

Summary:
**Energy of formation**: 0.127 eV per atom
**Energy above the lowest structure with this stoichiometry**: 0.354 eV/atom
**Symmetry**: C2/m

***

(11)
A relaxed structure of YCoAg. Source: Alexandria via LeMat-Bulk, functional PBE-GGA.

Cell and atoms, written as extended XYZ:
```
6
Lattice="3.4659 0.0000 0.0000 0.0000 3.4659 0.0000 0.0000 0.0000 9.5696" Properties=species:S:1:pos:R:3 pbc="T T T"
Y 0.0000 0.0000 0.0000
Y 1.7329 1.7329 4.7848
Co 0.0000 0.0000 6.3274
Co 1.7329 1.7329 1.5426
Ag 0.0000 0.0000 2.9248
Ag 1.7329 1.7329 7.7096
```

Summary:
**Energy of formation**: 0.047 eV per atom
**Symmetry**: I4mm

***

(12)
A relaxed structure of La5Os3. Source: Alexandria via LeMat-Bulk, functional PBE-GGA.

Cell and atoms, written as extended XYZ:
```
16
Lattice="8.4516 0.0000 0.0000 -4.2258 7.3193 0.0000 0.0000 0.0000 6.7731" Properties=species:S:1:pos:R:3 pbc="T T T"
La -1.0803 1.8712 1.6933
La -3.1454 5.4481 5.0798
La 2.1607 0.0000 1.6933
La 1.0803 1.8712 5.0798
La 0.0000 4.8795 0.0000
La 0.0000 4.8795 3.3866
La 4.2258 2.4398 0.0000
La 4.2258 2.4398 3.3866
La 6.2909 0.0000 5.0798
La 3.1454 5.4481 1.6933
Os -1.6425 2.8449 5.0798
Os -2.5833 4.4744 1.6933
Os 3.2850 0.0000 5.0798
Os 1.6425 2.8449 1.6933
Os 5.1666 0.0000 1.6933
Os 2.5833 4.4744 5.0798
```

Summary:
**Energy of formation**: -0.065 eV per atom
**Energy above the lowest structure with this stoichiometry**: 0.025 eV/atom
**Symmetry**: P6_3/mcm

***

(13)
A relaxed structure of CaAc2PrSm. Source: Alexandria via LeMat-Bulk, functional PBE-GGA.

Cell and atoms, written as extended XYZ:
```
10
Lattice="8.9744 0.0000 0.0000 0.0000 7.2064 0.0000 -0.0069 0.0000 6.4409" Properties=species:S:1:pos:R:3 pbc="T T T"
Ca -0.0017 0.6546 1.6102
Ca -0.0051 6.5518 4.8306
Ac 2.6833 1.4991 4.8273
Ac 2.6867 5.7073 1.6069
Ac 6.2808 1.4991 4.8339
Ac 6.2842 5.7073 1.6135
Pr 0.0000 3.6032 0.0000
Pr -0.0034 3.6032 3.2204
Sm 4.4855 2.4519 1.6102
Sm 4.4821 4.7545 4.8306
```

Summary:
**Energy of formation**: 0.302 eV per atom
**Symmetry**: P2/c

***

(14)
A relaxed structure of Mn5Hg3Cl12. Source: Alexandria via LeMat-Bulk, functional PBE-GGA.

Cell and atoms, written as extended XYZ:
```
80
Lattice="-8.1543 8.1543 8.1543 8.1543 -8.1543 8.1543 8.1543 8.1543 -8.1543" Properties=species:S:1:pos:R:3 pbc="T T T"
Mn 0.0000 0.0000 0.0000
Mn 4.0772 4.0772 -4.0772
Mn 4.0772 -4.0772 4.0772
Mn 8.1543 0.0000 0.0000
Mn 12.2315 2.0386 0.0000
Mn 8.1543 -4.0772 6.1157
Mn 6.1157 8.1543 -4.0772
Mn 6.1157 0.0000 4.0772
Mn 4.0772 6.1157 0.0000
Mn 8.1543 4.0772 2.0386
Mn -4.0772 4.0772 4.0772
Mn 0.0000 8.1543 0.0000
Mn 0.0000 0.0000 8.1543
Mn 4.0772 4.0772 4.0772
Mn 0.0000 4.0772 6.1157
Mn 4.0772 2.0386 8.1543
Mn 2.0386 8.1543 4.0772
Mn 2.0386 0.0000 12.2315
Mn 0.0000 12.2315 2.0386
Mn -4.0772 6.1157 8.1543
Hg 4.0772 2.0386 0.0000
Hg 8.1543 4.0772 -2.0386
Hg 2.0386 0.0000 4.0772
Hg 10.1929 0.0000 4.0772
Hg 0.0000 4.0772 2.0386
Hg 4.0772 -2.0386 8.1543
Hg 4.0772 10.1929 0.0000
Hg 8.1543 4.0772 6.1157
Hg -2.0386 8.1543 4.0772
Hg 6.1157 8.1543 4.0772
Hg 0.0000 4.0772 10.1929
Hg 4.0772 6.1157 8.1543
Cl 2.3756 -0.5868 0.7730
Cl 9.8559 4.8502 -4.6640
Cl 10.5299 0.5868 0.7730
Cl 9.8559 -3.3041 4.6640
Cl 7.5675 -0.7730 2.3756
Cl 12.8183 -1.7016 3.3041
Cl 0.7730 2.3756 -0.5868
Cl 11.4584 3.4904 -1.7016
Cl 4.8502 4.6640 -1.7016
Cl 7.3813 2.3756 0.5868
Cl -0.5868 0.7730 2.3756
Cl 4.6640 -1.7016 4.8502
Cl 7.5675 7.3813 -2.3756
Cl 4.6640 1.7016 3.3041
Cl 4.8502 -4.6640 9.8559
Cl 7.3813 -2.3756 7.5675
Cl 3.3041 4.6640 1.7016
Cl 8.9274 5.7787 0.5868
Cl 4.6640 9.8559 -3.3041
Cl 7.5675 0.7730 5.7787
Cl 2.3756 7.5675 -0.7730
Cl 9.8559 3.3041 3.4904
Cl 1.7016 3.3041 4.6640
Cl 2.3756 0.5868 7.3813
Cl 5.7787 7.5675 0.7730
Cl 6.4527 4.8502 3.4904
Cl -1.7016 4.8502 4.6640
Cl 5.7787 0.5868 8.9274
Cl 0.5868 7.3813 2.3756
Cl 3.4904 -1.7016 11.4584
Cl -0.7730 2.3756 7.5675
Cl 4.8502 3.4904 6.4527
Cl 0.7730 10.5299 0.5868
Cl 3.3041 12.8183 -1.7016
Cl 3.4904 6.4527 4.8502
Cl 0.5868 0.7730 10.5299
Cl 3.4904 9.8559 3.3041
Cl 8.7411 7.3813 5.7787
Cl 0.7730 5.7787 7.5675
Cl 3.3041 3.4904 9.8559
Cl -3.3041 4.6640 9.8559
Cl 7.3813 5.7787 8.7411
Cl -4.6640 9.8559 4.8502
Cl 0.5868 8.9274 5.7787
Cl -1.7016 11.4584 3.4904
Cl -2.3756 7.5675 7.3813
Cl -1.7016 3.3041 12.8183
Cl 5.7787 8.7411 7.3813
```

Summary:
**ΔE_f (raw)**: -1492.7 kJ/mol of formula units
**Symmetry**: Ia-3d

***

(15)
A relaxed structure of Ho4Tm5Sn2. Source: Alexandria via LeMat-Bulk, functional PBE-GGA.

Cell and atoms, written as extended XYZ:
```
11
Lattice="2.5862 1.4932 15.2559 -2.5862 1.4932 15.2559 0.0000 -2.9863 15.2559" Properties=species:S:1:pos:R:3 pbc="T T T"
Ho 0.0000 0.0000 3.2630
Ho 0.0000 0.0000 10.3616
Ho 0.0000 0.0000 35.4059
Ho 0.0000 0.0000 42.5046
Tm 0.0000 0.0000 0.0000
Tm 0.0000 0.0000 6.7496
Tm 0.0000 0.0000 13.8981
Tm 0.0000 0.0000 31.8694
Tm 0.0000 0.0000 39.0180
Sn 0.0000 0.0000 17.2932
Sn 0.0000 0.0000 28.4744
```

Summary:
**Energy of formation**: 0.121 eV per atom
**Symmetry**: R-3m

***

(16)
A relaxed structure of Ac3Sm3TmTe8. Source: Alexandria via LeMat-Bulk, functional PBE-GGA.

Cell and atoms, written as extended XYZ:
```
15
Lattice="4.5170 2.6079 7.5973 -4.5170 2.6079 7.5973 0.0000 -5.2158 7.5973" Properties=species:S:1:pos:R:3 pbc="T T T"
Ac -2.2585 -1.3040 7.5973
Ac -2.2585 1.3040 15.1946
Ac 0.0000 2.6079 7.5973
Sm -4.5170 0.0000 11.3960
Sm -2.2585 1.3040 3.7986
Sm 2.2585 1.3040 3.7987
Tm 0.0000 0.0000 11.3960
Te 0.0000 0.0000 5.5567
Te -2.2459 -1.2967 13.1488
Te 0.0000 -2.5934 9.6431
Te -2.2459 1.2967 9.6431
Te 2.2459 -1.2967 13.1488
Te 0.0000 2.5934 13.1488
Te 2.2459 1.2967 9.6431
Te 0.0000 0.0000 17.2352
```

Summary:
**ΔE_f (raw)**: -2094.6 kJ/mol of formula units
**Symmetry**: R-3m

***

(17)
A relaxed structure of Zr2AlB. Source: Alexandria via LeMat-Bulk, functional PBE-GGA.

Cell and atoms, written as extended XYZ:
```
16
Lattice="6.4659 0.0000 0.0000 0.0000 6.4659 0.0000 0.0000 0.0000 6.4659" Properties=species:S:1:pos:R:3 pbc="T T T"
Zr 1.6165 1.6165 1.6165
Zr 1.6165 1.6165 4.8494
Zr 1.6165 4.8494 1.6165
Zr 1.6165 4.8494 4.8494
Zr 4.8494 1.6165 1.6165
Zr 4.8494 1.6165 4.8494
Zr 4.8494 4.8494 1.6165
Zr 4.8494 4.8494 4.8494
Al 0.0000 0.0000 0.0000
Al 0.0000 3.2329 3.2329
Al 3.2329 0.0000 3.2329
Al 3.2329 3.2329 0.0000
B 0.0000 0.0000 3.2329
B 0.0000 3.2329 0.0000
B 3.2329 0.0000 0.0000
B 3.2329 3.2329 3.2329
```

Summary:
**Energy of formation**: 0.177 eV per atom
**Energy above the lowest structure with this stoichiometry**: 0.546 eV/atom
**Symmetry**: Fm-3m

***

(18)
A relaxed structure of Zr2TeAu. Source: Alexandria via LeMat-Bulk, functional PBE-GGA.

Cell and atoms, written as extended XYZ:
```
4
Lattice="3.5768 0.0000 0.0000 0.0000 3.6279 0.0000 0.0000 0.0000 6.6507" Properties=species:S:1:pos:R:3 pbc="T T T"
Zr 0.0000 0.0000 1.6444
Zr 0.0000 0.0000 5.0064
Te 1.7884 1.8140 3.3254
Au 1.7884 1.8140 0.0000
```

Summary:
**ΔE_f (raw)**: -197.1 kJ/mol of formula units
**Energy above the lowest structure with this stoichiometry**: 0.008 eV/atom
**Symmetry**: Pmmm

***

no.,N(E_F) (states/eV per cell),energy (eV/atom),calculated volume (Å³ per cell)
1,0.0,-4.364,430.56
2,7.5,-1.820,549.26
3,3.7,-6.809,49.66
4,4.8,-3.781,193.82
5,0.0,-5.785,204.02
6,0.0,-2.658,269.09
7,3.8,-3.347,300.92
8,1.1,-4.439,186.78
9,8.8,-6.261,426.13
10,9.8,-8.156,108.75
11,7.8,-5.427,114.95
12,14.5,-7.356,418.98
13,13.4,-3.641,416.55
14,25.0,-4.219,2168.81
15,17.0,-4.304,353.47
16,7.4,-5.186,536.98
17,28.3,-6.702,270.32
18,3.1,-6.389,86.30